A plane-wave DFT calculation with PBE with a Hubbard U was carried out for a relaxed Li2CrSnO4 crystal.

**Magnetic moment**: 4.001 μB/cell
**Crystal system**: tetragonal
**DFT total energy**: -6.16 eV/atom

abc: 4.189 4.189 5.688
angles: 111.60 111.60 90.00
Fractional positions:
Li: 0.250 0.750 0.500
Li: 0.000 0.000 0.000
Cr: 0.500 0.500 0.000
Sn: 0.750 0.250 0.500
O: 0.966 0.466 0.931
O: 0.534 0.034 0.069
O: 0.754 0.754 0.508
O: 0.246 0.246 0.492